No. 1
# CsGaCl2, optimized geometry, DFT PBE-GGA
data_CsGaCl2
_space_group_name_H-M_alt 'P 4/m m m'
_space_group_IT_number 123
_space_group_name_Hall '-P 4 2'
_cell_length_a 3.935
_cell_length_b 3.935
_cell_length_c 7.919
_cell_angle_alpha 90.00
_cell_angle_beta 90.00
_cell_angle_gamma 90.00
loop_
_atom_site_label
_atom_site_fract_x
_atom_site_fract_y
_atom_site_fract_z
Cs1 0.000 0.000 0.000
Ga1 0.000 0.000 0.500
Cl1 0.500 0.500 0.275
# Energy above the lowest structure with this stoichiometry   0.1166 eV/atom


No. 2
# CsGaCl2, optimized geometry, DFT PBE-GGA
data_CsGaCl2
_space_group_name_H-M_alt 'R -3 m'
_space_group_IT_number 166
_space_group_name_Hall '-R 3 2"'
_cell_length_a 4.7515
_cell_length_b 4.7515
_cell_length_c 27.8221
_cell_angle_alpha 90.00
_cell_angle_beta 90.00
_cell_angle_gamma 120.00
loop_
_atom_site_label
_atom_site_fract_x
_atom_site_fract_y
_atom_site_fract_z
Cs1 0.0000 0.0000 0.0000
Ga1 0.0000 0.0000 0.5000
Cl1 0.0000 0.0000 0.1117
# Energy above the lowest structure with this stoichiometry   0.3394 eV/atom


No. 3
This record from the Alexandria database describes crystalline CsGa2Cl8 at its relaxed geometry. The functional is PBE-GGA.

The structure in CIF format:
```
data_CsGa2Cl8
_space_group_name_H-M_alt 'C 1 2/m 1'
_space_group_IT_number 12
_space_group_name_Hall '-C 2y'
_cell_length_a 13.439
_cell_length_b 7.234
_cell_length_c 8.868
_cell_angle_alpha 90.00
_cell_angle_beta 111.44
_cell_angle_gamma 90.00
loop_
_atom_site_label
_atom_site_fract_x
_atom_site_fract_y
_atom_site_fract_z
Cs1 0.000 0.000 0.000
Ga1 0.230 0.000 0.712
Cl1 0.096 0.500 0.208
Cl2 0.147 0.000 0.449
Cl3 0.175 0.247 0.809
```


| no. | formation energy without anion corrections (eV/atom) | raw total energy (eV per cell) |
| --- | --- | --- |
| 1 | -1.222 | -12.46 |
| 2 | -0.999 | -34.71 |
| 3 | -1.157 | -68.82 |